1.
Here is a relaxed Re2OsRu3 crystal from the Alexandria database. Energies are from PBE.

Final energy (eV/f.u.): -63.65
SG: C2/c (15)

Cell: 7.2194 7.2194 4.7093 Å, 90.28 90.28 44.49°
With the nearest neighbours (Å) after each atom.
Positions (direct):
Re  0.0398  0.2927  0.4145  8 Ru 2.71-2.74, 1 Os 2.72, 3 Re 2.73
Re  0.2927  0.0398  0.9145  8 Ru 2.71-2.74, 1 Os 2.72, 3 Re 2.73
Re  0.7073  0.9602  0.0855  8 Ru 2.71-2.74, 1 Os 2.72, 3 Re 2.73
Re  0.9602  0.7073  0.5855  8 Ru 2.71-2.74, 1 Os 2.72, 3 Re 2.73
Os  0.3765  0.6235  0.7500  2 Os 2.71, 2 Re 2.72, 8 Ru 2.72-2.75
Os  0.6235  0.3765  0.2500  2 Os 2.71, 2 Re 2.72, 8 Ru 2.72-2.75
Ru  0.1259  0.8741  0.2500  4 Os 2.72-2.75, 4 Ru 2.72-2.73, 4 Re 2.72-2.73
Ru  0.2067  0.4593  0.0837  6 Re 2.71-2.74, 4 Ru 2.71-2.73, 2 Os 2.73-2.74
Ru  0.4593  0.2067  0.5837  6 Re 2.71-2.74, 4 Ru 2.71-2.73, 2 Os 2.73-2.74
Ru  0.5407  0.7933  0.4163  6 Re 2.71-2.74, 4 Ru 2.71-2.73, 2 Os 2.73-2.74
Ru  0.7933  0.5407  0.9163  6 Re 2.71-2.74, 4 Ru 2.71-2.73, 2 Os 2.73-2.74
Ru  0.8741  0.1259  0.7500  4 Os 2.72-2.75, 4 Ru 2.72-2.73, 4 Re 2.72-2.73

***

2.
Here is a relaxed TaInPb2 crystal from the Alexandria database. Energies are from PBE.

Final energy (eV/f.u.): -20.61
SG: P4mm (99)

Cell: 3.1809 3.1809 10.0411 Å, 90.00 90.00 90.00°
With the nearest neighbours (Å) after each atom.
Positions (direct):
Ta  0.0000  0.0000  0.0000  4 In 3.03, 4 Ta 3.18, 4 Pb 3.19
In  0.5000  0.5000  0.2027  4 Ta 3.03, 4 In 3.18
Pb  0.0000  0.0000  0.4652  4 Pb 3.18, 4 In 3.46
Pb  0.5000  0.5000  0.7743  4 Pb 3.18, 4 Ta 3.19

***

3.
Here is a relaxed La4PmZn crystal from the Alexandria database. Energies are from PBE.

SG: Cmc2_1 (36)
Relative energy among the computed polymorphs (eV per atom): 0.0262

Cell: 6.7774 6.7774 11.3567 Å, 90.00 90.00 131.00°
With the nearest neighbours (Å) after each atom.
Positions (direct):
La  0.0033  0.9967  0.5000  2 Zn 3.32-3.34, 4 La 3.64-3.70, 2 Pm 3.65
La  0.1858  0.8142  0.7540  2 Zn 3.53, 8 La 3.55-3.84, 3 Pm 3.66-3.68
La  0.3121  0.6879  0.4606  1 Zn 3.21, 2 Pm 3.35, 1 La 3.54
La  0.4737  0.5263  0.7531  2 Zn 3.15, 1 Pm 3.52
La  0.5263  0.4737  0.2531  2 Zn 3.15, 1 Pm 3.52
La  0.6879  0.3121  0.9606  1 Zn 3.21, 2 Pm 3.35, 1 La 3.54
La  0.8142  0.1858  0.2540  2 Zn 3.53, 8 La 3.55-3.84, 3 Pm 3.66-3.68
La  0.9967  0.0033  0.0000  2 Zn 3.32-3.34, 4 La 3.64-3.70, 2 Pm 3.65
Pm  0.3125  0.6875  0.0473  1 Zn 3.10, 2 La 3.35
Pm  0.6875  0.3125  0.5473  1 Zn 3.10, 2 La 3.35
Zn  0.1415  0.8585  0.2470  1 Pm 3.10, 5 La 3.15-3.34
Zn  0.8585  0.1415  0.7470  1 Pm 3.10, 5 La 3.15-3.34

***

4.
Here is a relaxed Nd4Er crystal from the Alexandria database. Energies are from PBE.

SG: Pm-3m (221)
Relative energy among the computed polymorphs (eV per atom): 0.6253

Cell: 5.8360 5.8360 5.8360 Å, 90.00 90.00 90.00°
With the nearest neighbours (Å) after each atom.
Positions (direct):
Nd  0.0000  0.0000  0.0000  12 Nd 4.13
Nd  0.0000  0.5000  0.5000  2 Er 2.92
Nd  0.5000  0.0000  0.5000  2 Er 2.92
Nd  0.5000  0.5000  0.0000  2 Er 2.92
Er  0.5000  0.5000  0.5000  6 Nd 2.92

***

5.
Here is a relaxed Pm2Ho3ThS6 crystal from the Alexandria database. Energies are from PBE.

SG: C2/m (12)
Uncorrected formation energy (eV/atom): -1.966

Cell: 8.9002 8.9002 7.9735 Å, 104.25 104.25 25.57°
With the nearest neighbours (Å) after each atom.
Positions (direct):
Pm  0.1648  0.1648  0.3298  6 S 2.84-2.87
Pm  0.8352  0.8352  0.6702  6 S 2.84-2.87
Ho  0.1662  0.1662  0.8343  6 S 2.73-2.76
Ho  0.5000  0.5000  0.5000  6 S 2.74-2.76
Ho  0.8338  0.8338  0.1657  6 S 2.73-2.76
Th  0.5000  0.5000  0.0000  6 S 2.87
S  0.0038  0.0038  0.7403  3 Ho 2.73-2.74, 1 Pm 2.84, 2 Th 2.87
S  0.3291  0.3291  0.9247  3 Ho 2.74, 2 Pm 2.85, 1 Th 2.87
S  0.3354  0.3354  0.4086  3 Ho 2.76, 3 Pm 2.87
S  0.6646  0.6646  0.5914  3 Ho 2.76, 3 Pm 2.87
S  0.6709  0.6709  0.0753  3 Ho 2.74, 2 Pm 2.85, 1 Th 2.87
S  0.9962  0.9962  0.2597  3 Ho 2.73-2.74, 1 Pm 2.84, 2 Th 2.87

***

6.
Here is a relaxed Pu2TcBr crystal from the Alexandria database. Energies are from PBE.

SG: P4/mmm (123)
Relative energy among the computed polymorphs (eV per atom): 0.0000
Uncorrected formation energy (eV/atom): -0.424

Cell: 3.3400 3.3400 8.1131 Å, 90.00 90.00 90.00°
With the nearest neighbours (Å) after each atom.
Positions (direct):
Pu  0.0000  0.0000  0.2143  4 Tc 2.93
Pu  0.0000  0.0000  0.7857  4 Tc 2.93
Tc  0.5000  0.5000  0.0000  8 Pu 2.93
Br  0.5000  0.5000  0.5000  8 Pu 3.31, 4 Br 3.34

***

no.,total moment (μB/f.u.),D(E_F) (states/eV per atom)
1,0.00,0.893
2,0.00,0.417
3,0.00,1.373
4,0.02,1.616
5,0.00,0.460
6,10.18,2.895